(1)
A geometry-optimized Ce2CoPt structure. Source: Alexandria, functional PBE-GGA.

a b c (Å): 5.985 5.491 10.356
angles (deg): 79.82 90.00 90.00
Sites, in units of the cell vectors:
Ce: 0.116 0.788 0.919
Ce: 0.616 0.712 0.581
Ce: 0.884 0.212 0.081
Ce: 0.384 0.288 0.419
Ce: 0.067 0.783 0.357
Ce: 0.567 0.717 0.143
Ce: 0.933 0.217 0.643
Ce: 0.433 0.283 0.857
Co: 0.437 0.093 0.681
Co: 0.937 0.407 0.819
Co: 0.563 0.907 0.319
Co: 0.063 0.593 0.181
Pt: 0.644 0.761 0.866
Pt: 0.144 0.739 0.634
Pt: 0.356 0.239 0.134
Pt: 0.856 0.261 0.366

Computed properties:
Total magnetization in Bohr magnetons per cell: 1.0
Excess energy over the best structure of this formula in the dataset in meV per atom: 21
DOS at the Fermi energy in states/eV/f.u.: 6.3
SG: P2_1/c (14)
Crystal system: monoclinic
E_form in eV/atom: -0.565

(2)
A geometry-optimized Ce8CoPt2 structure. Source: Alexandria, functional PBE-GGA.

a b c (Å): 5.763 8.093 8.093
angles (deg): 122.34 106.36 106.36
Sites, in units of the cell vectors:
Ce: 0.655 0.393 0.154
Ce: 0.655 0.154 0.393
Ce: 0.130 0.307 0.307
Ce: 0.965 0.181 0.761
Ce: 0.965 0.761 0.181
Ce: 0.791 0.612 0.612
Ce: 0.459 0.948 0.744
Ce: 0.459 0.744 0.948
Co: 0.083 0.975 0.975
Pt: 0.419 0.679 0.280
Pt: 0.419 0.280 0.679

Computed properties:
Total magnetization in Bohr magnetons per cell: 0.4
DOS at the Fermi energy in states/eV/f.u.: 26.5
SG: Cm (8)
Crystal system: monoclinic
E_form in eV/atom: -0.378